(1)
Density functional theory data (PBE-GGA) for crystalline CoPtW2 at its relaxed geometry.

Values from the calculation:
The total energy is -149.82 eV for the cell shown. The calculation puts the volume at 240.0 Å³/cell. The energy above the most stable polymorph in this dataset is 481 meV per atom. The value obtained for the formation energy is 0.400 eV per atom.

Cell and atoms, written as CIF:
```
data_CoPtW2
_space_group_name_H-M_alt 'F m -3 m'
_space_group_IT_number 225
_space_group_name_Hall '-F 4 2 3'
_cell_length_a 6.2149
_cell_length_b 6.2149
_cell_length_c 6.2149
_cell_angle_alpha 90.00
_cell_angle_beta 90.00
_cell_angle_gamma 90.00
loop_
_atom_site_label
_atom_site_type_symbol
_atom_site_fract_x
_atom_site_fract_y
_atom_site_fract_z
_atom_site_occupancy
Co1 Co 0.0000 0.0000 0.0000 1
Pt1 Pt 0.0000 0.0000 0.5000 1
W1 W 0.2500 0.2500 0.2500 1
```



(2)
Density functional theory data (PBE-GGA) for crystalline CoPt2W at its relaxed geometry.

Values from the calculation:
The total energy is -32.58 eV for the cell shown. The calculation puts the volume at 58.0 Å³/cell. The energy above the most stable polymorph in this dataset is 76 meV per atom. The value obtained for the formation energy is -0.110 eV per atom.

Cell and atoms, written as CIF:
```
data_CoPt2W
_space_group_name_H-M_alt 'P 4 m m'
_space_group_IT_number 99
_space_group_name_Hall 'P 4 -2'
_cell_length_a 2.7436
_cell_length_b 2.7436
_cell_length_c 7.7003
_cell_angle_alpha 90.00
_cell_angle_beta 90.00
_cell_angle_gamma 90.00
loop_
_atom_site_label
_atom_site_type_symbol
_atom_site_fract_x
_atom_site_fract_y
_atom_site_fract_z
_atom_site_occupancy
Co1 Co 0.0000 0.0000 0.0000 1
Pt1 Pt 0.0000 0.0000 0.5159 1
Pt2 Pt 0.5000 0.5000 0.2370 1
W1 W 0.5000 0.5000 0.7753 1
```



(3)
Density functional theory data (PBE-GGA) for crystalline YCoPtW2 at its relaxed geometry.

Values from the calculation:
The total energy is -30.65 eV for the cell shown. The calculation puts the volume at 114.2 Å³/cell. The value obtained for the formation energy is 2.973 eV per atom.

Cell and atoms, written as CIF:
```
data_YCoPtW2
_space_group_name_H-M_alt 'P 4/m m m'
_space_group_IT_number 123
_space_group_name_Hall '-P 4 2'
_cell_length_a 4.8276
_cell_length_b 4.8276
_cell_length_c 4.9004
_cell_angle_alpha 90.00
_cell_angle_beta 90.00
_cell_angle_gamma 90.00
loop_
_atom_site_label
_atom_site_type_symbol
_atom_site_fract_x
_atom_site_fract_y
_atom_site_fract_z
_atom_site_occupancy
Y1 Y 0.0000 0.0000 0.0000 1
Co1 Co 0.5000 0.5000 0.5000 1
Pt1 Pt 0.0000 0.0000 0.5000 1
W1 W 0.0000 0.5000 0.0000 1
```



(4)
Density functional theory data (PBE-GGA) for crystalline YCo2Pt at its relaxed geometry.

Values from the calculation:
The total energy is -108.91 eV for the cell shown. The calculation puts the volume at 250.9 Å³/cell. The energy above the most stable polymorph in this dataset is 219 meV per atom. The value obtained for the formation energy is -0.128 eV per atom.

Cell and atoms, written as CIF:
```
data_YCo2Pt
_space_group_name_H-M_alt 'F m -3 m'
_space_group_IT_number 225
_space_group_name_Hall '-F 4 2 3'
_cell_length_a 6.3072
_cell_length_b 6.3072
_cell_length_c 6.3072
_cell_angle_alpha 90.00
_cell_angle_beta 90.00
_cell_angle_gamma 90.00
loop_
_atom_site_label
_atom_site_type_symbol
_atom_site_fract_x
_atom_site_fract_y
_atom_site_fract_z
_atom_site_occupancy
Y1 Y 0.0000 0.0000 0.0000 1
Co1 Co 0.2500 0.2500 0.2500 1
Pt1 Pt 0.0000 0.0000 0.5000 1
```



(5)
Density functional theory data (PBE-GGA) for crystalline Y8CoPt2 at its relaxed geometry.

Values from the calculation:
The total energy is -150.81 eV for the cell shown. The calculation puts the volume at 605.2 Å³/cell. The value obtained for the formation energy is -0.410 eV per atom.

Cell and atoms, written as CIF:
```
data_Y8CoPt2
_space_group_name_H-M_alt 'C 1 m 1'
_space_group_IT_number 8
_space_group_name_Hall 'C -2y'
_cell_length_a 8.5234
_cell_length_b 12.3772
_cell_length_c 6.1385
_cell_angle_alpha 90.00
_cell_angle_beta 110.85
_cell_angle_gamma 90.00
loop_
_atom_site_label
_atom_site_type_symbol
_atom_site_fract_x
_atom_site_fract_y
_atom_site_fract_z
_atom_site_occupancy
Y1 Y 0.0000 0.0000 0.0000 1
Y2 Y 0.0576 0.3697 0.8072 1
Y3 Y 0.1389 0.1306 0.5842 1
Y4 Y 0.2057 0.5000 0.3685 1
Y5 Y 0.3553 0.1987 0.1827 1
Co1 Co 0.3591 0.0000 0.9898 1
Pt1 Pt 0.3459 0.3167 0.6881 1
```



(6)
Density functional theory data (PBE-GGA) for crystalline YCo2Pt at its relaxed geometry.

Values from the calculation:
The total energy is -27.42 eV for the cell shown. The calculation puts the volume at 65.6 Å³/cell. The energy above the most stable polymorph in this dataset is 171 meV per atom. The value obtained for the formation energy is -0.176 eV per atom.

Cell and atoms, written as CIF:
```
data_YCo2Pt
_space_group_name_H-M_alt 'P m m 2'
_space_group_IT_number 25
_space_group_name_Hall 'P 2 -2'
_cell_length_a 3.0605
_cell_length_b 3.3958
_cell_length_c 6.3088
_cell_angle_alpha 90.00
_cell_angle_beta 90.00
_cell_angle_gamma 90.00
loop_
_atom_site_label
_atom_site_type_symbol
_atom_site_fract_x
_atom_site_fract_y
_atom_site_fract_z
_atom_site_occupancy
Y1 Y 0.0000 0.0000 0.0000 1
Co1 Co 0.0000 0.0000 0.4647 1
Co2 Co 0.5000 0.5000 0.3133 1
Pt1 Pt 0.5000 0.5000 0.7152 1
```



(7)
Density functional theory data (PBE-GGA) for crystalline Y12Co6Pt at its relaxed geometry.

Values from the calculation:
The total energy is -262.69 eV for the cell shown. The calculation puts the volume at 878.9 Å³/cell. The value obtained for the formation energy is -0.268 eV per atom.

Cell and atoms, written as CIF:
```
data_Y12Co6Pt
_space_group_name_H-M_alt 'I m -3'
_space_group_IT_number 204
_space_group_name_Hall '-I 2 2 3'
_cell_length_a 9.5790
_cell_length_b 9.5790
_cell_length_c 9.5790
_cell_angle_alpha 90.00
_cell_angle_beta 90.00
_cell_angle_gamma 90.00
loop_
_atom_site_label
_atom_site_type_symbol
_atom_site_fract_x
_atom_site_fract_y
_atom_site_fract_z
_atom_site_occupancy
Y1 Y 0.0000 0.1930 0.2980 1
Co1 Co 0.0000 0.3864 0.5000 1
Pt1 Pt 0.0000 0.0000 0.0000 1
```



(8)
Density functional theory data (PBE-GGA) for crystalline Y4CoPt at its relaxed geometry.

Values from the calculation:
The total energy is -139.21 eV for the cell shown. The calculation puts the volume at 600.8 Å³/cell. The energy above the most stable polymorph in this dataset is 1205 meV per atom. The value obtained for the formation energy is 0.700 eV per atom.

Cell and atoms, written as CIF:
```
data_Y4CoPt
_space_group_name_H-M_alt 'F -4 3 m'
_space_group_IT_number 216
_space_group_name_Hall 'F -4 2 3'
_cell_length_a 8.4379
_cell_length_b 8.4379
_cell_length_c 8.4379
_cell_angle_alpha 90.00
_cell_angle_beta 90.00
_cell_angle_gamma 90.00
loop_
_atom_site_label
_atom_site_type_symbol
_atom_site_fract_x
_atom_site_fract_y
_atom_site_fract_z
_atom_site_occupancy
Y1 Y 0.1245 0.1245 0.3755 1
Co1 Co 0.0000 0.0000 0.0000 1
Pt1 Pt 0.2500 0.2500 0.7500 1
```